# 1
# BaBeRh2 (GGA-PBEsol, optimized geometry)
# crystal system = cubic
# calculated total energy = -4.933 eV per atom
data_BaBeRh2
_cell_length_a 6.574
_cell_length_b 6.574
_cell_length_c 6.574
_cell_angle_alpha 90.00
_cell_angle_beta 90.00
_cell_angle_gamma 90.00
_symmetry_space_group_name_H-M 'F -4 3 m'
_symmetry_Int_Tables_number 216
_symmetry_space_group_name_Hall 'F -4 2 3'
loop_
_atom_site_label
_atom_site_fract_x
_atom_site_fract_y
_atom_site_fract_z
_atom_site_occupancy
Ba1 0.000 0.000 0.000 1
Be1 0.250 0.250 0.750 1
Rh1 0.000 0.000 0.500 1
Rh2 0.250 0.250 0.250 1

=====

# 2
# Na3GaSb (GGA-PBEsol, optimized geometry)
# raw formation energy = 0.208 eV/atom
# crystal system = cubic
# calculated total energy = -2.212 eV per atom
data_Na3GaSb
_cell_length_a 5.757
_cell_length_b 5.757
_cell_length_c 5.757
_cell_angle_alpha 90.00
_cell_angle_beta 90.00
_cell_angle_gamma 90.00
_symmetry_space_group_name_H-M 'P m -3 m'
_symmetry_Int_Tables_number 221
_symmetry_space_group_name_Hall '-P 4 2 3'
loop_
_atom_site_label
_atom_site_fract_x
_atom_site_fract_y
_atom_site_fract_z
_atom_site_occupancy
Na1 0.000 0.000 0.500 1
Ga1 0.500 0.500 0.500 1
Sb1 0.000 0.000 0.000 1

=====

# 3
# Li3Mg (GGA-PBEsol, optimized geometry)
# crystal system = orthorhombic
# calculated total energy = -1.935 eV per atom
data_Li3Mg
_cell_length_a 3.445
_cell_length_b 4.787
_cell_length_c 9.545
_cell_angle_alpha 90.00
_cell_angle_beta 90.00
_cell_angle_gamma 90.00
_symmetry_space_group_name_H-M 'I m m m'
_symmetry_Int_Tables_number 71
_symmetry_space_group_name_Hall '-I 2 2'
loop_
_atom_site_label
_atom_site_fract_x
_atom_site_fract_y
_atom_site_fract_z
_atom_site_occupancy
Li1 0.000 0.000 0.000 1
Li2 0.000 0.500 0.259 1
Mg1 0.000 0.000 0.500 1

=====

# 4
# Rb2BaCo (GGA-PBEsol, optimized geometry)
# crystal system = cubic
# calculated total energy = -1.930 eV per atom
data_Rb2BaCo
_cell_length_a 8.747
_cell_length_b 8.747
_cell_length_c 8.747
_cell_angle_alpha 90.00
_cell_angle_beta 90.00
_cell_angle_gamma 90.00
_symmetry_space_group_name_H-M 'F m -3 m'
_symmetry_Int_Tables_number 225
_symmetry_space_group_name_Hall '-F 4 2 3'
loop_
_atom_site_label
_atom_site_fract_x
_atom_site_fract_y
_atom_site_fract_z
_atom_site_occupancy
Rb1 0.250 0.250 0.250 1
Ba1 0.000 0.000 0.000 1
Co1 0.000 0.000 0.500 1

=====

# 5
# Ba5Li2W3O15 (GGA-PBEsol, optimized geometry)
# raw formation energy = -2.626 eV/atom
# crystal system = hexagonal
# calculated total energy = -8.019 eV per atom
data_Ba5Li2W3O15
_cell_length_a 5.7363
_cell_length_b 5.7363
_cell_length_c 23.7895
_cell_angle_alpha 90.00
_cell_angle_beta 90.00
_cell_angle_gamma 120.00
_symmetry_space_group_name_H-M 'P 63 m c'
_symmetry_Int_Tables_number 186
_symmetry_space_group_name_Hall 'P 6c -2c'
loop_
_atom_site_label
_atom_site_fract_x
_atom_site_fract_y
_atom_site_fract_z
_atom_site_occupancy
Ba1 0.0000 0.0000 0.0000 1
Ba2 0.0000 0.0000 0.1988 1
Ba3 0.3333 0.6667 0.1066 1
Ba4 0.3333 0.6667 0.3929 1
Ba5 0.3333 0.6667 0.7967 1
Li1 0.0000 0.0000 0.3405 1
Li2 0.3333 0.6667 0.6685 1
W1 0.3333 0.6667 0.2505 1
W2 0.3333 0.6667 0.5518 1
W3 0.3333 0.6667 0.9469 1
O1 0.9996 0.4998 0.4993 1
O2 0.0174 0.5087 0.2026 1
O3 0.1752 0.3503 0.2973 1
O4 0.1757 0.3514 0.9066 1
O5 0.1763 0.3525 0.5923 1

=====

# 6
# SrSi2IrN (GGA-PBEsol, optimized geometry)
# raw formation energy = 3.157 eV/atom
# crystal system = tetragonal
# calculated total energy = -3.180 eV per atom
data_SrSi2IrN
_cell_length_a 5.573
_cell_length_b 5.573
_cell_length_c 4.973
_cell_angle_alpha 90.00
_cell_angle_beta 90.00
_cell_angle_gamma 90.00
_symmetry_space_group_name_H-M 'P 4/m m m'
_symmetry_Int_Tables_number 123
_symmetry_space_group_name_Hall '-P 4 2'
loop_
_atom_site_label
_atom_site_fract_x
_atom_site_fract_y
_atom_site_fract_z
_atom_site_occupancy
Sr1 0.000 0.000 0.000 1
Si1 0.000 0.500 0.000 1
Ir1 0.000 0.000 0.500 1
N1 0.500 0.500 0.500 1

=====

# 7
# TcOsAu (GGA-PBEsol, optimized geometry)
# crystal system = orthorhombic
# calculated total energy = -8.861 eV per atom
data_TcOsAu
_cell_length_a 2.797
_cell_length_b 3.778
_cell_length_c 8.405
_cell_angle_alpha 90.00
_cell_angle_beta 90.00
_cell_angle_gamma 90.00
_symmetry_space_group_name_H-M 'I m m 2'
_symmetry_Int_Tables_number 44
loop_
_symmetry_equiv_pos_as_xyz
'x,y,z'
'-x,-y,z'
'-x,y,z'
'x,-y,z'
'x+1/2,y+1/2,z+1/2'
'-x+1/2,-y+1/2,z+1/2'
'-x+1/2,y+1/2,z+1/2'
'x+1/2,-y+1/2,z+1/2'
loop_
_atom_site_label
_atom_site_fract_x
_atom_site_fract_y
_atom_site_fract_z
_atom_site_occupancy
Tc1 0.000 0.000 0.000 1
Os1 0.000 0.000 0.356 1
Au1 0.000 0.000 0.678 1

=====

# 8
# BaPRu (GGA-PBEsol, optimized geometry)
# crystal system = cubic
# calculated total energy = -5.472 eV per atom
data_BaPRu
_cell_length_a 6.635
_cell_length_b 6.635
_cell_length_c 6.635
_cell_angle_alpha 90.00
_cell_angle_beta 90.00
_cell_angle_gamma 90.00
_symmetry_space_group_name_H-M 'F -4 3 m'
_symmetry_Int_Tables_number 216
_symmetry_space_group_name_Hall 'F -4 2 3'
loop_
_atom_site_label
_atom_site_fract_x
_atom_site_fract_y
_atom_site_fract_z
_atom_site_occupancy
Ba1 0.000 0.000 0.000 1
P1 0.250 0.250 0.250 1
Ru1 0.000 0.000 0.500 1

=====

# 9
# TcCS2 (GGA-PBEsol, optimized geometry)
# raw formation energy = 0.719 eV/atom
# crystal system = tetragonal
# calculated total energy = -6.701 eV per atom
data_TcCS2
_cell_length_a 4.906
_cell_length_b 4.906
_cell_length_c 8.938
_cell_angle_alpha 90.00
_cell_angle_beta 90.00
_cell_angle_gamma 90.00
_symmetry_space_group_name_H-M 'I -4 2 d'
_symmetry_Int_Tables_number 122
_symmetry_space_group_name_Hall 'I -4 2bw'
loop_
_atom_site_label
_atom_site_fract_x
_atom_site_fract_y
_atom_site_fract_z
_atom_site_occupancy
Tc1 0.000 0.000 0.000 1
C1 0.000 0.000 0.500 1
S1 0.197 0.250 0.625 1

=====

# 10
# AsP2Os (GGA-PBEsol, optimized geometry)
# crystal system = trigonal
# calculated total energy = -7.023 eV per atom
data_AsP2Os
_cell_length_a 3.1405
_cell_length_b 3.1405
_cell_length_c 21.0152
_cell_angle_alpha 90.00
_cell_angle_beta 90.00
_cell_angle_gamma 120.00
_symmetry_space_group_name_H-M 'R 3 m'
_symmetry_Int_Tables_number 160
_symmetry_space_group_name_Hall 'R 3 -2"'
loop_
_atom_site_label
_atom_site_fract_x
_atom_site_fract_y
_atom_site_fract_z
_atom_site_occupancy
As1 0.0000 0.0000 0.0000 1
P1 0.0000 0.0000 0.4983 1
P2 0.0000 0.0000 0.7675 1
Os1 0.0000 0.0000 0.2530 1

=====

# 11
# LaAl2ZnRe (GGA-PBEsol, optimized geometry)
# crystal system = tetragonal
# calculated total energy = -3.708 eV per atom
data_LaAl2ZnRe
_cell_length_a 5.606
_cell_length_b 5.606
_cell_length_c 4.840
_cell_angle_alpha 90.00
_cell_angle_beta 90.00
_cell_angle_gamma 90.00
_symmetry_space_group_name_H-M 'P 4/m m m'
_symmetry_Int_Tables_number 123
_symmetry_space_group_name_Hall '-P 4 2'
loop_
_atom_site_label
_atom_site_fract_x
_atom_site_fract_y
_atom_site_fract_z
_atom_site_occupancy
La1 0.000 0.000 0.000 1
Al1 0.000 0.500 0.000 1
Zn1 0.500 0.500 0.500 1
Re1 0.000 0.000 0.500 1

=====

# 12
# Li5CuH2O4 (GGA-PBEsol, optimized geometry)
# crystal system = orthorhombic
# calculated total energy = -4.987 eV per atom
data_Li5CuH2O4
_cell_length_a 5.355
_cell_length_b 7.350
_cell_length_c 10.524
_cell_angle_alpha 90.00
_cell_angle_beta 90.00
_cell_angle_gamma 90.00
_symmetry_space_group_name_H-M 'P n m a'
_symmetry_Int_Tables_number 62
loop_
_symmetry_equiv_pos_as_xyz
'x,y,z'
'-x,-y,-z'
'-x+1/2,-y,z+1/2'
'x+1/2,y,-z+1/2'
'x+1/2,-y+1/2,-z+1/2'
'-x+1/2,y+1/2,z+1/2'
'-x,y+1/2,-z'
'x,-y+1/2,z'
loop_
_atom_site_label
_atom_site_fract_x
_atom_site_fract_y
_atom_site_fract_z
_atom_site_occupancy
Li1 0.061 0.250 0.047 1
Li2 0.062 0.750 0.721 1
Li3 0.090 0.750 0.211 1
Li4 0.205 0.506 0.846 1
Cu1 0.002 0.250 0.526 1
H1 0.226 0.017 0.604 1
O1 0.170 0.043 0.170 1
O2 0.227 0.250 0.401 1
O3 0.230 0.250 0.873 1